# 1
! K2NaHgSb, relaxed, DFT PBE; values from VASP
! - E_form (uncorrected): -0.241 eV per atom
! - Uncorrected energy: -9.14 eV per cell
&SYSTEM
  ibrav = 0, nat = 5, ntyp = 4
/
ATOMIC_SPECIES
K 39.10 K.upf
Na 22.99 Na.upf
Hg 200.59 Hg.upf
Sb 121.76 Sb.upf
CELL_PARAMETERS angstrom
6.781 0.000 0.000
0.000 6.781 0.000
0.000 0.000 5.907
ATOMIC_POSITIONS angstrom
K 0.000 3.390 0.000
K 3.390 0.000 0.000
Na 0.000 0.000 2.954
Hg 3.390 3.390 2.954
Sb 0.000 0.000 0.000

# 2
! KNaHg2Se, relaxed, DFT PBE; values from VASP
! - E_form (uncorrected): -0.382 eV per atom
! - Uncorrected energy: -8.41 eV per cell
&SYSTEM
  ibrav = 0, nat = 5, ntyp = 4
/
ATOMIC_SPECIES
K 39.10 K.upf
Na 22.99 Na.upf
Hg 200.59 Hg.upf
Se 78.96 Se.upf
CELL_PARAMETERS angstrom
5.732 0.000 0.000
0.000 5.732 0.000
0.000 0.000 5.456
ATOMIC_POSITIONS angstrom
K 0.000 0.000 0.000
Na 2.866 2.866 2.728
Hg 0.000 2.866 2.728
Hg 2.866 0.000 2.728
Se 2.866 2.866 0.000

# 3
! KNa2HgSe, relaxed, DFT PBE; values from VASP
! - E_form (uncorrected): -0.414 eV per atom
! - Relative energy among the computed polymorphs: 158 meV/atom
! - Uncorrected energy: -9.59 eV per cell
&SYSTEM
  ibrav = 0, nat = 5, ntyp = 4
/
ATOMIC_SPECIES
K 39.10 K.upf
Na 22.99 Na.upf
Hg 200.59 Hg.upf
Se 78.96 Se.upf
CELL_PARAMETERS angstrom
5.391 0.000 0.000
0.000 5.391 0.000
0.000 0.000 7.584
ATOMIC_POSITIONS angstrom
K 0.000 0.000 0.000
Na 0.000 2.695 3.792
Na 2.695 0.000 3.792
Hg 2.695 2.695 0.000
Se 2.695 2.695 3.792

# 4
! KNa2HgSe, relaxed, DFT PBE; values from VASP
! - E_form (uncorrected): -0.572 eV per atom
! - Relative energy among the computed polymorphs: 0 meV/atom
! - Uncorrected energy: -10.38 eV per cell
&SYSTEM
  ibrav = 0, nat = 5, ntyp = 4
/
ATOMIC_SPECIES
K 39.10 K.upf
Na 22.99 Na.upf
Hg 200.59 Hg.upf
Se 78.96 Se.upf
CELL_PARAMETERS angstrom
5.562 0.000 0.000
0.000 5.562 0.000
0.000 0.000 6.396
ATOMIC_POSITIONS angstrom
K 0.000 0.000 0.000
Na 0.000 2.781 3.198
Na 2.781 0.000 3.198
Hg 2.781 2.781 0.000
Se 0.000 0.000 3.198

# 5
! KNaHgSe, relaxed, DFT PBE; values from VASP
! - E_form (uncorrected): -0.713 eV per atom
! - Uncorrected energy: -36.22 eV per cell
&SYSTEM
  ibrav = 0, nat = 16, ntyp = 4
/
ATOMIC_SPECIES
K 39.10 K.upf
Na 22.99 Na.upf
Hg 200.59 Hg.upf
Se 78.96 Se.upf
CELL_PARAMETERS angstrom
7.715 0.000 0.000
0.000 7.715 0.000
0.000 0.000 7.715
ATOMIC_POSITIONS angstrom
K 0.000 0.000 0.000
K 0.000 3.858 3.858
K 3.858 0.000 3.858
K 3.858 3.858 0.000
Na 0.000 0.000 3.858
Na 0.000 3.858 0.000
Na 3.858 0.000 0.000
Na 3.858 3.858 3.858
Hg 1.929 1.929 1.929
Hg 1.929 5.787 5.787
Hg 5.787 1.929 5.787
Hg 5.787 5.787 1.929
Se 1.929 1.929 5.787
Se 1.929 5.787 1.929
Se 5.787 1.929 1.929
Se 5.787 5.787 5.787

# 6
! KNa2SiHg, relaxed, DFT PBE; values from VASP
! - E_form (uncorrected): 0.053 eV per atom
! - Uncorrected energy: -9.19 eV per cell
&SYSTEM
  ibrav = 0, nat = 5, ntyp = 4
/
ATOMIC_SPECIES
K 39.10 K.upf
Na 22.99 Na.upf
Si 28.09 Si.upf
Hg 200.59 Hg.upf
CELL_PARAMETERS angstrom
5.764 0.000 0.000
0.000 5.764 0.000
0.000 0.000 5.123
ATOMIC_POSITIONS angstrom
K 0.000 0.000 0.000
Na 0.000 2.882 2.561
Na 2.882 0.000 2.561
Si 2.882 2.882 2.561
Hg 2.882 2.882 0.000

# 7
! K2Na4Sn2Hg, relaxed, DFT PBE; values from VASP
! - Uncorrected energy: -17.01 eV per cell
! - Formation energy from the elements: -0.14 eV per atom
&SYSTEM
  ibrav = 0, nat = 9, ntyp = 4
/
ATOMIC_SPECIES
K 39.10 K.upf
Na 22.99 Na.upf
Sn 118.71 Sn.upf
Hg 200.59 Hg.upf
CELL_PARAMETERS angstrom
6.995 -3.963 0.000
6.995 3.963 0.000
-1.013 0.000 5.694
ATOMIC_POSITIONS angstrom
K 1.648 0.000 1.171
K 11.330 0.000 4.524
Na 4.754 1.639 1.698
Na 8.224 1.639 3.997
Na 4.754 -1.639 1.698
Na 8.224 -1.639 3.997
Sn 3.561 0.000 4.329
Sn 9.417 0.000 1.365
Hg 6.995 0.000 0.000

# 8
! KNa2SnHg, relaxed, DFT PBE; values from VASP
! - Relative energy among the computed polymorphs: 21 meV/atom
! - Uncorrected energy: -8.26 eV per cell
! - Formation energy from the elements: -0.04 eV per atom
&SYSTEM
  ibrav = 0, nat = 5, ntyp = 4
/
ATOMIC_SPECIES
K 39.10 K.upf
Na 22.99 Na.upf
Sn 118.71 Sn.upf
Hg 200.59 Hg.upf
CELL_PARAMETERS angstrom
5.869 0.000 0.000
0.000 5.869 0.000
0.000 0.000 5.507
ATOMIC_POSITIONS angstrom
K 0.000 0.000 0.000
Na 0.000 2.935 2.754
Na 2.935 0.000 2.754
Sn 2.935 2.935 0.000
Hg 2.935 2.935 2.754